#a
A crystal of MnSbI2 relaxed with PBEsol. Source: Alexandria, functional meta-GGA SCAN.

a b c (Å): 5.288 5.288 5.288
angles (deg): 60.00 60.00 60.00
Fractional coordinates of all 4 atoms:
1 Mn 0.000 0.000 0.000
2 Sb 0.500 0.500 0.500
3 I 0.250 0.250 0.250
4 I 0.750 0.750 0.750

## Properties
DOS(E_F) = 2.53 states/eV/cell

#b
A crystal of MnSbI2 relaxed with PBEsol. Source: Alexandria, functional meta-GGA SCAN.

a b c (Å): 7.617 7.617 7.617
angles (deg): 96.48 96.48 140.73
Fractional coordinates of all 8 atoms:
1 Mn 0.000 0.000 0.000
2 Mn 0.750 0.250 0.500
3 Sb 0.250 0.750 0.500
4 Sb 0.500 0.500 0.000
5 I 0.375 0.037 0.162
6 I 0.787 0.625 0.662
7 I 0.875 0.213 0.838
8 I 0.963 0.125 0.338

## Properties
DOS(E_F) = 6.44 states/eV/cell

What should be chosen as the least stable of them? Choose #a.

#a
A crystal of MnSe2I relaxed with PBEsol. Source: Alexandria, functional meta-GGA SCAN.

a b c (Å): 12.159 12.159 12.159
angles (deg): 14.57 14.57 14.57
Fractional coordinates of all 4 atoms:
1 Mn 0.000 0.000 0.000
2 Se 0.065 0.065 0.065
3 Se 0.935 0.935 0.935
4 I 0.500 0.500 0.500

## Properties
DOS(E_F) = 1.93 states/eV/cell

#b
A crystal of MnSe2I relaxed with PBEsol. Source: Alexandria, functional meta-GGA SCAN.

a b c (Å): 3.391 3.391 9.981
angles (deg): 99.02 99.02 58.45
Fractional coordinates of all 4 atoms:
1 Mn 0.000 0.000 0.000
2 Se 0.285 0.285 0.851
3 Se 0.715 0.715 0.149
4 I 0.500 0.500 0.500

## Properties
DOS(E_F) = 1.36 states/eV/cell

What should be chosen as the least stable of them? Choose #a.

#a
A crystal of NbTeIN2 relaxed with PBEsol. Source: Alexandria, functional meta-GGA SCAN.

a b c (Å): 4.135 4.135 5.890
angles (deg): 90.00 90.00 90.00
Fractional coordinates of all 5 atoms:
1 Nb 0.000 0.000 0.000
2 Te 0.000 0.000 0.500
3 I 0.500 0.500 0.500
4 N 0.000 0.500 0.000
5 N 0.500 0.000 0.000

## Properties
DOS(E_F) = 1.72 states/eV/cell

#b
A crystal of NbTeIN2 relaxed with PBEsol. Source: Alexandria, functional meta-GGA SCAN.

a b c (Å): 3.983 3.983 6.722
angles (deg): 90.00 90.00 90.00
Fractional coordinates of all 5 atoms:
1 Nb 0.000 0.000 0.000
2 Te 0.500 0.500 0.000
3 I 0.500 0.500 0.500
4 N 0.000 0.500 0.500
5 N 0.500 0.000 0.500

## Properties
DOS(E_F) = 4.09 states/eV/cell

What should be chosen as the least stable of them? Choose #b.